## YIn2Pb (PBE)

Data for a relaxed structure of YIn2Pb.

Spin magnetization, μB per cell: 0.0

Cell: 4.1606 4.1606 6.4056 Å, 90.00 90.00 90.00°
With the nearest neighbours (Å) after each atom.
Positions (direct):
Y 0.0000 0.0000 0.0000  2 Pb 3.20, 8 In 3.35
In 0.5000 0.5000 0.2493  2 In 3.19-3.21, 4 Y 3.35, 4 Pb 3.35
In 0.5000 0.5000 0.7507  2 In 3.19-3.21, 4 Y 3.35, 4 Pb 3.35
Pb 0.0000 0.0000 0.5000  2 Y 3.20, 8 In 3.35



## Y2In2Pb (PBE)

Data for a relaxed structure of Y2In2Pb.

Spin magnetization, μB per cell: 0.0
Energy above the lowest structure with this stoichiometry, kJ per mole of atoms: 0.0

Cell: 8.7109 8.7109 3.7353 Å, 90.00 90.00 90.00°
With the nearest neighbours (Å) after each atom.
Positions (direct):
Y 0.1787 0.3213 0.0000  6 In 3.11-3.24
Y 0.3213 0.8213 0.0000  6 In 3.11-3.24
Y 0.6787 0.1787 0.0000  6 In 3.11-3.24
Y 0.8213 0.6787 0.0000  6 In 3.11-3.24
In 0.1196 0.6196 0.5000  1 In 2.95, 6 Y 3.11-3.24
In 0.3804 0.1196 0.5000  1 In 2.95, 6 Y 3.11-3.24
In 0.6196 0.8804 0.5000  1 In 2.95, 6 Y 3.11-3.24
In 0.8804 0.3804 0.5000  1 In 2.95, 6 Y 3.11-3.24
Pb 0.0000 0.0000 0.5000  4 In 3.47, 8 Y 3.71, 2 Pb 3.74
Pb 0.5000 0.5000 0.5000  4 In 3.47, 8 Y 3.71, 2 Pb 3.74



## Y7In2Pb2 (PBE)

Data for a relaxed structure of Y7In2Pb2.

Spin magnetization, μB per cell: 0.0

Cell: 6.9641 6.9641 7.7445 Å, 90.00 90.00 109.10°
With the nearest neighbours (Å) after each atom.
Positions (direct):
Y 0.0000 0.0000 0.0000  2 In 3.24
Y 0.0000 0.5000 0.2876  2 In 3.03, 1 Y 3.29, 2 Pb 3.32
Y 0.0000 0.5000 0.7124  2 In 3.03, 1 Y 3.29, 2 Pb 3.32
Y 0.5000 0.0000 0.2876  2 In 3.03, 1 Y 3.29, 2 Pb 3.32
Y 0.5000 0.0000 0.7124  2 In 3.03, 1 Y 3.29, 2 Pb 3.32
Y 0.5000 0.5000 0.2486  2 In 3.10, 2 Pb 3.19
Y 0.5000 0.5000 0.7514  2 In 3.10, 2 Pb 3.19
In 0.2857 0.7143 0.0000  7 Y 3.03-3.24
In 0.7143 0.2857 0.0000  7 Y 3.03-3.24
Pb 0.1875 0.1875 0.5000  1 Pb 3.03, 6 Y 3.19-3.32
Pb 0.8125 0.8125 0.5000  1 Pb 3.03, 6 Y 3.19-3.32



## YInPb2 (PBE)

Data for a relaxed structure of YInPb2.

Spin magnetization, μB per cell: 0.0

Cell: 6.4986 6.4986 3.5604 Å, 104.85 104.85 117.59°
With the nearest neighbours (Å) after each atom.
Positions (direct):
Y 0.0000 0.0000 0.0000  4 Pb 3.28, 4 In 3.37-3.49, 2 Y 3.56
In 0.5000 0.5000 0.0000  4 Pb 3.28, 4 Y 3.37-3.49, 2 In 3.56
Pb 0.0000 0.5000 0.5000  2 In 3.28, 2 Y 3.28, 6 Pb 3.37-3.56
Pb 0.5000 0.0000 0.5000  2 In 3.28, 2 Y 3.28, 6 Pb 3.37-3.56



## YIn2Pb (PBE)

Data for a relaxed structure of YIn2Pb.

Spin magnetization, μB per cell: 0.0

Cell: 3.2690 5.4444 6.1538 Å, 90.00 90.03 90.00°
With the nearest neighbours (Å) after each atom.
Positions (direct):
Y 0.0000 0.0000 0.0000  2 Y 3.27, 4 Pb 3.48, 8 In 3.49-3.50
In 0.4981 0.5000 0.7634  2 In 2.91-3.24, 2 Pb 3.17
In 0.5019 0.5000 0.2366  2 In 2.91-3.24, 2 Pb 3.17
Pb 0.5000 0.0000 0.5000  4 In 3.17, 2 Pb 3.27, 4 Y 3.48



## Y2In2Pb (PBE)

Data for a relaxed structure of Y2In2Pb.

Spin magnetization, μB per cell: 0.0
Energy above the lowest structure with this stoichiometry, kJ per mole of atoms: 18.1

Cell: 9.4436 9.4436 9.4436 Å, 155.20 155.20 35.36°
With the nearest neighbours (Å) after each atom.
Positions (direct):
Y 0.1021 0.1021 0.0000  4 In 3.35, 4 Pb 3.41, 1 Y 3.68
Y 0.8979 0.8979 0.0000  4 In 3.35, 4 Pb 3.41, 1 Y 3.68
In 0.2500 0.7500 0.5000  4 In 2.87
In 0.7500 0.2500 0.5000  4 In 2.87
Pb 0.5000 0.5000 0.0000  8 Y 3.41



## Y4InPb (PBE)

Data for a relaxed structure of Y4InPb.

Spin magnetization, μB per cell: 0.0

Cell: 6.3707 6.3707 6.3707 Å, 60.00 60.00 60.00°
With the nearest neighbours (Å) after each atom.
Positions (direct):
Y 0.1248 0.1248 0.1248  6 Y 3.18-3.19
Y 0.1248 0.1248 0.6255  6 Y 3.18-3.19
Y 0.1248 0.6255 0.1248  6 Y 3.18-3.19
Y 0.6255 0.1248 0.1248  6 Y 3.18-3.19
In 0.7500 0.7500 0.7500  12 Y 3.73, 4 Pb 3.90
Pb 0.5000 0.5000 0.5000  12 Y 3.74, 4 In 3.90



## Y2In4Pb (PBE)

Data for a relaxed structure of Y2In4Pb.

Spin magnetization, μB per cell: 0.0

Cell: 6.4437 6.4437 6.5773 Å, 119.22 119.22 90.00°
With the nearest neighbours (Å) after each atom.
Positions (direct):
Y 0.0000 0.5000 0.0000  2 Pb 3.22, 8 In 3.29-3.30
Y 0.5000 0.0000 0.0000  2 Pb 3.22, 8 In 3.29-3.30
In 0.0000 0.0000 0.5000  4 In 3.22, 2 Pb 3.29, 4 Y 3.29
In 0.0000 0.5000 0.5000  4 In 3.22, 4 Y 3.29-3.30, 2 Pb 3.29
In 0.5000 0.0000 0.5000  4 In 3.22, 4 Y 3.29-3.30, 2 Pb 3.29
In 0.5000 0.5000 0.5000  4 In 3.22, 4 Y 3.29, 2 Pb 3.30
Pb 0.0000 0.0000 0.0000  4 Y 3.22, 8 In 3.29-3.30



## YIn6Pb (PBE)

Data for a relaxed structure of YIn6Pb.

Spin magnetization, μB per cell: 0.0

Cell: 6.8446 6.8446 4.5627 Å, 90.00 90.00 90.00°
With the nearest neighbours (Å) after each atom.
Positions (direct):
Y 0.0000 0.0000 0.0000  12 In 3.31-3.42
In 0.0000 0.5000 0.0000  8 In 3.33, 2 Pb 3.42, 2 Y 3.42
In 0.2475 0.2475 0.5000  2 Y 3.31, 8 In 3.33-3.46, 2 Pb 3.34
In 0.2475 0.7525 0.5000  2 Y 3.31, 8 In 3.33-3.46, 2 Pb 3.34
In 0.5000 0.0000 0.0000  8 In 3.33, 2 Pb 3.42, 2 Y 3.42
In 0.7525 0.2475 0.5000  2 Y 3.31, 8 In 3.33-3.46, 2 Pb 3.34
In 0.7525 0.7525 0.5000  2 Y 3.31, 8 In 3.33-3.46, 2 Pb 3.34
Pb 0.5000 0.5000 0.0000  12 In 3.34-3.42



## YInPb2 (PBE)

Data for a relaxed structure of YInPb2.

Spin magnetization, μB per cell: 0.0

Cell: 6.8786 6.8786 6.8786 Å, 103.12 103.12 123.09°
With the nearest neighbours (Å) after each atom.
Positions (direct):
Y 0.0000 0.0000 0.0000  4 Pb 3.26, 2 In 3.28
Y 0.7500 0.2500 0.5000  4 Pb 3.26, 2 In 3.28
In 0.2500 0.7500 0.5000  4 Pb 3.02, 2 Y 3.28
In 0.5000 0.5000 0.0000  4 Pb 3.02, 2 Y 3.28
Pb 0.1456 0.1250 0.5206  2 In 3.02, 2 Y 3.26, 2 Pb 3.30
Pb 0.3750 0.8544 0.9794  2 In 3.02, 2 Y 3.26, 2 Pb 3.30
Pb 0.6044 0.6250 0.4794  2 In 3.02, 2 Y 3.26, 2 Pb 3.30
Pb 0.8750 0.3956 0.0206  2 In 3.02, 2 Y 3.26, 2 Pb 3.30



## Y2In9Pb (PBE)

Data for a relaxed structure of Y2In9Pb.

Spin magnetization, μB per cell: 0.0

Cell: 4.6767 4.6767 14.3659 Å, 90.00 90.00 90.00°
With the nearest neighbours (Å) after each atom.
Positions (direct):
Y 0.0000 0.0000 0.1602  12 In 3.28-3.35
Y 0.0000 0.0000 0.8398  12 In 3.28-3.35
In 0.0000 0.5000 0.0000  4 Y 3.28, 8 In 3.30-3.31
In 0.0000 0.5000 0.3269  8 In 3.31-3.41, 2 Y 3.35, 2 Pb 3.41
In 0.0000 0.5000 0.6731  8 In 3.31-3.41, 2 Y 3.35, 2 Pb 3.41
In 0.5000 0.0000 0.0000  4 Y 3.28, 8 In 3.30-3.31
In 0.5000 0.0000 0.3269  8 In 3.31-3.41, 2 Y 3.35, 2 Pb 3.41
In 0.5000 0.0000 0.6731  8 In 3.31-3.41, 2 Y 3.35, 2 Pb 3.41
In 0.5000 0.5000 0.1624  8 In 3.30-3.32, 4 Y 3.31
In 0.5000 0.5000 0.5000  4 Pb 3.31, 8 In 3.41
In 0.5000 0.5000 0.8376  8 In 3.30-3.32, 4 Y 3.31
Pb 0.0000 0.0000 0.5000  12 In 3.31-3.41



## YZrIn2Pb (PBE)

Data for a relaxed structure of YZrIn2Pb.

Spin magnetization, μB per cell: 1.5

Cell: 5.5441 5.5441 5.7367 Å, 90.00 90.00 90.00°
With the nearest neighbours (Å) after each atom.
Positions (direct):
Y 0.0000 0.0000 0.0000  2 Pb 2.87
Zr 0.5000 0.5000 0.0000  4 Y 3.92, 8 In 3.99
In 0.0000 0.5000 0.5000  2 Pb 2.77
In 0.5000 0.0000 0.5000  2 Pb 2.77
Pb 0.0000 0.0000 0.5000  4 In 2.77, 2 Y 2.87



## Yb2InPb (PBE)

Data for a relaxed structure of Yb2InPb.

Spin magnetization, μB per cell: 0.3

Cell: 5.4510 5.4510 5.4510 Å, 60.00 60.00 60.00°
With the nearest neighbours (Å) after each atom.
Positions (direct):
Yb 0.2500 0.2500 0.2500  4 In 3.34, 4 Pb 3.34
Yb 0.7500 0.7500 0.7500  4 In 3.34, 4 Pb 3.34
In 0.0000 0.0000 0.0000  8 Yb 3.34
Pb 0.5000 0.5000 0.5000  8 Yb 3.34



## ZnIn2Pb (PBE)

Data for a relaxed structure of ZnIn2Pb.

Spin magnetization, μB per cell: 0.0

Cell: 5.6111 5.6111 5.8252 Å, 105.51 105.51 35.98°
With the nearest neighbours (Å) after each atom.
Positions (direct):
Zn 0.0000 0.0000 0.0000  2 In 2.98, 3 Pb 3.08-3.33
In 0.2759 0.2759 0.7498  2 Zn 2.98, 3 In 3.21-3.25, 2 Pb 3.34
In 0.5142 0.5142 0.5137  5 In 3.21-3.47, 3 Pb 3.36-3.39, 4 Zn 3.36-3.42
Pb 0.7433 0.7433 0.2190  3 Zn 3.08-3.33, 5 In 3.34-3.39



## Zn2InPb (PBE)

Data for a relaxed structure of Zn2InPb.

Spin magnetization, μB per cell: 0.0
Energy above the lowest structure with this stoichiometry, kJ per mole of atoms: 7.0

Cell: 3.8457 4.4461 5.4945 Å, 90.00 90.00 90.00°
With the nearest neighbours (Å) after each atom.
Positions (direct):
Zn 0.0000 0.0000 0.0000  4 Pb 2.94
Zn 0.0000 0.5000 0.5000  4 In 2.94
In 0.5000 0.0000 0.5000  4 Zn 2.94
Pb 0.5000 0.5000 0.0000  4 Zn 2.94



## ZnIn8Pb2 (PBE)

Data for a relaxed structure of ZnIn8Pb2.

Spin magnetization, μB per cell: 0.0

Cell: 4.8131 4.8131 13.1273 Å, 90.00 90.00 90.00°
With the nearest neighbours (Å) after each atom.
Positions (direct):
Zn 0.0000 0.0000 0.0000  8 In 2.93
In 0.0000 0.5000 0.1270  2 Zn 2.93
In 0.0000 0.5000 0.5000  8 In 3.40-3.46, 4 Pb 3.44
In 0.0000 0.5000 0.8730  2 Zn 2.93
In 0.5000 0.0000 0.1270  2 Zn 2.93
In 0.5000 0.0000 0.5000  8 In 3.40-3.46, 4 Pb 3.44
In 0.5000 0.0000 0.8730  2 Zn 2.93
In 0.5000 0.5000 0.3107  4 Pb 3.40, 8 In 3.41-3.46
In 0.5000 0.5000 0.6893  4 Pb 3.40, 8 In 3.41-3.46
Pb 0.0000 0.0000 0.3131  12 In 3.40-3.44
Pb 0.0000 0.0000 0.6869  12 In 3.40-3.44



## Zn2InPb2 (PBE)

Data for a relaxed structure of Zn2InPb2.

Spin magnetization, μB per cell: 0.0
Energy above the lowest structure with this stoichiometry, kJ per mole of atoms: 7.1

Cell: 6.9064 6.9064 6.9064 Å, 140.06 140.06 57.76°
With the nearest neighbours (Å) after each atom.
Positions (direct):
Zn 0.0998 0.0998 0.0000  1 Zn 2.41
Zn 0.9002 0.9002 0.0000  1 Zn 2.41
In 0.5000 0.5000 0.0000  8 Zn 3.55, 8 Pb 3.83
Pb 0.2500 0.7500 0.5000  4 Zn 2.98
Pb 0.7500 0.2500 0.5000  4 Zn 2.98



## Zn2InPb (PBE)

Data for a relaxed structure of Zn2InPb.

Spin magnetization, μB per cell: 0.0
Energy above the lowest structure with this stoichiometry, kJ per mole of atoms: 0.7

Cell: 3.4533 3.4533 7.6747 Å, 90.00 90.00 94.93°
With the nearest neighbours (Å) after each atom.
Positions (direct):
Zn 0.0000 0.0000 0.0000  4 Zn 2.63-2.82
Zn 0.5000 0.5000 0.1590  4 Zn 2.63-2.82
In 0.5000 0.5000 0.7601  5 Zn 2.97-3.14
Pb 0.0000 0.0000 0.4268  5 Zn 3.11-3.28, 4 Pb 3.45, 2 In 3.46



## ZnInPb4 (PBE)

Data for a relaxed structure of ZnInPb4.

Spin magnetization, μB per cell: 0.0

Cell: 6.4955 6.4955 6.4955 Å, 60.00 60.00 60.00°
With the nearest neighbours (Å) after each atom.
Positions (direct):
Zn 0.0000 0.0000 0.0000  12 Pb 3.81, 4 In 3.98
In 0.7500 0.7500 0.7500  12 Pb 3.81, 4 Zn 3.98
Pb 0.3749 0.3749 0.3749  6 Pb 3.25
Pb 0.3749 0.3749 0.8752  6 Pb 3.25
Pb 0.3749 0.8752 0.3749  6 Pb 3.25
Pb 0.8752 0.3749 0.3749  6 Pb 3.25



## Zn2InPb (PBE)

Data for a relaxed structure of Zn2InPb.

Spin magnetization, μB per cell: 0.0
Energy above the lowest structure with this stoichiometry, kJ per mole of atoms: 6.2

Cell: 5.0743 5.0743 5.0743 Å, 60.00 60.00 60.00°
With the nearest neighbours (Å) after each atom.
Positions (direct):
Zn 0.2500 0.2500 0.2500  4 In 3.11, 4 Pb 3.11
Zn 0.7500 0.7500 0.7500  4 In 3.11, 4 Pb 3.11
In 0.0000 0.0000 0.0000  8 Zn 3.11
Pb 0.5000 0.5000 0.5000  8 Zn 3.11



## ZnIn2Pb (PBE)

Data for a relaxed structure of ZnIn2Pb.

Spin magnetization, μB per cell: 0.0

Cell: 6.2373 6.2373 6.2373 Å, 147.29 127.59 63.16°
With the nearest neighbours (Å) after each atom.
Positions (direct):
Zn 0.0000 0.0000 0.0000  4 In 2.93, 4 Pb 3.27
In 0.2210 0.7210 0.5000  2 Zn 2.93
In 0.7790 0.2790 0.5000  2 Zn 2.93
Pb 0.5000 0.5000 0.0000  4 Zn 3.27, 8 In 3.45-3.62, 2 Pb 3.51



## Zn2In2Pb (PBE)

Data for a relaxed structure of Zn2In2Pb.

Spin magnetization, μB per cell: 0.0
Energy above the lowest structure with this stoichiometry, kJ per mole of atoms: 0.7

Cell: 6.9000 6.9000 6.9000 Å, 142.82 142.82 53.59°
With the nearest neighbours (Å) after each atom.
Positions (direct):
Zn 0.0999 0.0999 0.0000  1 Zn 2.46
Zn 0.9001 0.9001 0.0000  1 Zn 2.46
In 0.2500 0.7500 0.5000  4 Zn 2.87, 4 In 3.11
In 0.7500 0.2500 0.5000  4 Zn 2.87, 4 In 3.11
Pb 0.5000 0.5000 0.0000  8 Zn 3.35



## ZnIn2Pb (PBE)

Data for a relaxed structure of ZnIn2Pb.

Spin magnetization, μB per cell: 0.0

Cell: 3.2809 3.2809 10.2327 Å, 90.00 90.00 109.50°
With the nearest neighbours (Å) after each atom.
Positions (direct):
Zn 0.0000 0.0000 0.0000  4 In 2.94, 4 Zn 3.28
In 0.5000 0.5000 0.2193  2 Zn 2.94, 4 In 3.28
In 0.5000 0.5000 0.7807  2 Zn 2.94, 4 In 3.28
Pb 0.0000 0.0000 0.5000  4 Pb 3.28, 4 In 3.44



## Zn2InPb (PBE)

Data for a relaxed structure of Zn2InPb.

Spin magnetization, μB per cell: 0.0
Energy above the lowest structure with this stoichiometry, kJ per mole of atoms: 14.8

Cell: 5.1151 5.1151 5.1151 Å, 60.00 60.00 60.00°
With the nearest neighbours (Å) after each atom.
Positions (direct):
Zn 0.0000 0.0000 0.0000  4 In 3.13, 4 Zn 3.13
Zn 0.2500 0.2500 0.2500  4 Pb 3.13, 4 Zn 3.13
In 0.7500 0.7500 0.7500  4 Pb 3.13, 4 Zn 3.13
Pb 0.5000 0.5000 0.5000  4 In 3.13, 4 Zn 3.13



## Zn2InPb2 (PBE)

Data for a relaxed structure of Zn2InPb2.

Spin magnetization, μB per cell: 0.0
Energy above the lowest structure with this stoichiometry, kJ per mole of atoms: 0.7

Cell: 9.8864 9.8864 9.8864 Å, 158.54 158.54 30.54°
With the nearest neighbours (Å) after each atom.
Positions (direct):
Zn 0.2500 0.7500 0.5000  4 Zn 2.60
Zn 0.7500 0.2500 0.5000  4 Zn 2.60
In 0.0000 0.0000 0.0000  8 Pb 3.46, 4 In 3.68
Pb 0.3802 0.3802 0.0000  4 Zn 3.09
Pb 0.6198 0.6198 0.0000  4 Zn 3.09



## ZnIn2Pb (PBE)

Data for a relaxed structure of ZnIn2Pb.

Spin magnetization, μB per cell: 0.0

Cell: 5.5195 5.5195 5.5195 Å, 127.23 127.23 77.88°
With the nearest neighbours (Å) after each atom.
Positions (direct):
Zn 0.0000 0.0000 0.0000  8 In 3.26-3.47, 4 Pb 3.26
In 0.2500 0.7500 0.5000  4 In 3.26, 4 Zn 3.26, 4 Pb 3.47
In 0.5000 0.5000 0.0000  4 In 3.26, 4 Pb 3.26, 4 Zn 3.47
Pb 0.7500 0.2500 0.5000  8 In 3.26-3.47, 4 Zn 3.26



## Zn2In2Pb (PBE)

Data for a relaxed structure of Zn2In2Pb.

Spin magnetization, μB per cell: 0.0
Energy above the lowest structure with this stoichiometry, kJ per mole of atoms: 4.4

Cell: 8.3916 8.3916 3.3913 Å, 90.00 90.00 90.00°
With the nearest neighbours (Å) after each atom.
Positions (direct):
Zn 0.1656 0.3344 0.0000  6 In 2.93-3.04
Zn 0.3344 0.8344 0.0000  6 In 2.93-3.04
Zn 0.6656 0.1656 0.0000  6 In 2.93-3.04
Zn 0.8344 0.6656 0.0000  6 In 2.93-3.04
In 0.1334 0.6334 0.5000  6 Zn 2.93-3.04, 1 In 3.17, 2 Pb 3.27
In 0.3666 0.1334 0.5000  6 Zn 2.93-3.04, 1 In 3.17, 2 Pb 3.27
In 0.6334 0.8666 0.5000  6 Zn 2.93-3.04, 1 In 3.17, 2 Pb 3.27
In 0.8666 0.3666 0.5000  6 Zn 2.93-3.04, 1 In 3.17, 2 Pb 3.27
Pb 0.0000 0.0000 0.5000  4 In 3.27, 2 Pb 3.39, 8 Zn 3.56
Pb 0.5000 0.5000 0.5000  4 In 3.27, 2 Pb 3.39, 8 Zn 3.56



| no. | N(E_F) (states/eV/f.u.) | energy relative to the elements (eV/atom) |
| --- | --- | --- |
| 1 | 3.3 | -0.201 |
| 2 | 2.0 | -0.379 |
| 3 | 11.2 | -0.113 |
| 4 | 2.8 | -0.195 |
| 5 | 2.8 | -0.208 |
| 6 | 5.3 | -0.192 |
| 7 | 7.0 | 0.135 |
| 8 | 3.4 | -0.279 |
| 9 | 5.3 | -0.139 |
| 10 | 0.7 | -0.091 |
| 11 | 6.2 | -0.233 |
| 12 | 5.3 | 0.902 |
| 13 | 28.1 | -0.532 |
| 14 | 1.8 | 0.095 |
| 15 | 1.6 | 0.166 |
| 16 | 4.7 | 0.047 |
| 17 | 1.8 | 0.165 |
| 18 | 1.4 | 0.101 |
| 19 | 2.1 | 0.261 |
| 20 | 2.2 | 0.158 |
| 21 | 1.8 | 0.086 |
| 22 | 2.1 | 0.099 |
| 23 | 2.7 | 0.120 |
| 24 | 3.8 | 0.247 |
| 25 | 2.1 | 0.099 |
| 26 | 1.3 | 0.106 |
| 27 | 1.7 | 0.137 |